# 1
The following is a DFT calculation (PBE) of a relaxed Cs3TeH crystal.

Results
Magnetization in μB/f.u.: 0.0
Energy above the most stable polymorph in this dataset in meV/atom: 96

```
Cs3TeH
1.0
5.261 0.000 8.603
-2.630 4.556 8.603
-2.630 -4.556 8.603
Cs H Te
6 2 2
Direct
0.750 0.072 0.428
0.928 0.572 0.250
0.428 0.750 0.072
0.250 0.928 0.572
0.572 0.250 0.928
0.072 0.428 0.750
0.250 0.250 0.250
0.750 0.750 0.750
0.500 0.500 0.500
0.000 0.000 0.000
```



# 2
The following is a DFT calculation (PBE) of a relaxed Cs3TeH crystal.

Results
Magnetization in μB/f.u.: 0.0
Energy above the most stable polymorph in this dataset in meV/atom: 35

```
Cs3TeH
1.0
6.014 0.004 -0.005
-0.894 9.524 -0.002
-0.696 -2.679 7.764
Te Cs H
2 6 2
Direct
0.901 0.159 0.065
0.776 0.749 0.421
0.339 0.954 0.243
0.236 0.501 0.471
0.339 0.954 0.743
0.441 0.407 0.015
0.811 0.734 0.906
0.866 0.175 0.580
0.379 0.232 0.611
0.299 0.676 0.874
```



# 3
The following is a DFT calculation (PBE) of a relaxed Cs3TeH crystal.

Results
Magnetization in μB/f.u.: 0.0
Energy above the most stable polymorph in this dataset in meV/atom: 96

```
Cs3TeH
1.0
-12.651 -16.340 0.841
-4.230 -5.457 -4.597
7.951 2.352 0.243
H Cs Te
2 6 2
Direct
0.920 0.939 0.061
0.080 0.061 0.939
0.597 0.256 0.744
0.403 0.744 0.256
0.061 0.578 0.422
0.180 0.739 0.261
0.939 0.422 0.578
0.820 0.261 0.739
0.666 0.934 0.066
0.334 0.066 0.934
```



# 4
The following is a DFT calculation (PBE) of a relaxed CsThTe3H crystal.

Results
Magnetization in μB/f.u.: 0.0
VASP energy in eV per atom: -4.36

```
CsThTe3H
1.0
-3.978 -0.227 -2.493
2.140 -8.501 1.791
-6.043 0.501 9.596
Te Cs Th H
6 2 2 2
Direct
0.385 0.770 0.575
0.385 0.770 0.925
0.615 0.230 0.075
0.615 0.230 0.425
0.937 0.873 0.250
0.063 0.127 0.750
0.738 0.475 0.750
0.262 0.525 0.250
0.000 0.000 0.000
0.000 0.000 0.500
0.391 0.782 0.750
0.609 0.218 0.250
```



# 5
The following is a DFT calculation (PBE) of a relaxed Cs2TlTe2H crystal.

Results
Magnetization in μB/f.u.: 0.1
VASP energy in eV per atom: -2.69

```
Cs2TlTe2H
1.0
7.547 0.000 0.000
0.000 11.310 0.000
-3.774 -5.655 7.059
Te Tl H Cs
4 2 2 4
Direct
0.112 0.750 0.225
0.888 0.250 0.775
0.612 0.475 0.225
0.388 0.525 0.775
0.750 0.500 0.000
0.250 0.500 0.000
0.750 0.000 0.000
0.250 0.000 0.000
0.894 0.748 0.787
0.106 0.252 0.213
0.394 0.039 0.787
0.606 0.961 0.213
```



# 6
The following is a DFT calculation (PBE) of a relaxed Cs2TlTeH crystal.

Results
Magnetization in μB/f.u.: 0.0
VASP energy in eV per atom: -2.54

```
Cs2TlTeH
1.0
5.819 0.000 0.000
0.000 5.819 0.000
0.000 0.000 5.431
Cs Te H Tl
2 1 1 1
Direct
0.000 0.500 0.000
0.500 0.000 0.000
0.500 0.500 0.500
0.000 0.000 0.000
0.000 0.000 0.500
```



# 7
The following is a DFT calculation (PBE) of a relaxed CsTl2TeH crystal.

Results
Magnetization in μB/f.u.: 0.0
VASP energy in eV per atom: -2.22

```
CsTl2TeH
1.0
6.427 0.000 0.000
0.000 7.400 0.000
0.000 0.000 6.427
H Te Tl Cs
1 1 2 1
Direct
0.500 0.500 0.500
0.000 0.000 0.000
0.000 0.000 0.500
0.500 0.000 0.000
0.000 0.500 0.000
```



# 8
The following is a DFT calculation (PBE) of a relaxed CsY2TeH crystal.

Results
Magnetization in μB/f.u.: 0.0
VASP energy in eV per atom: -4.16

```
CsY2TeH
1.0
-0.146 -1.751 -4.713
4.286 -2.914 0.951
-2.922 -3.807 1.505
Te H Y Cs
1 1 2 1
Direct
0.500 0.500 0.500
0.000 0.000 0.000
0.500 0.000 0.000
0.000 0.000 0.500
0.000 0.500 0.000
```



# 9
The following is a DFT calculation (PBE) of a relaxed Cs2ZnTe2H crystal.

Results
Magnetization in μB/f.u.: 0.0
VASP energy in eV per atom: -2.53

```
Cs2ZnTe2H
1.0
-0.236 -6.777 2.417
4.180 2.149 6.433
-8.449 3.857 -0.732
H Te Cs Zn
2 4 4 2
Direct
0.750 0.000 0.000
0.250 0.000 0.000
0.407 0.590 0.813
0.907 0.223 0.813
0.593 0.410 0.187
0.093 0.777 0.187
0.861 0.699 0.722
0.361 0.023 0.722
0.139 0.301 0.278
0.639 0.977 0.278
0.250 0.500 0.000
0.750 0.500 0.000
```



# 10
The following is a DFT calculation (PBE) of a relaxed Cs2TiH4 crystal.

Results
Magnetization in μB/f.u.: 2.0
VASP energy in eV per atom: -3.37

```
Cs2TiH4
1.0
-1.271 0.255 -3.917
1.335 -3.843 -0.683
-6.920 -4.579 -0.226
Cs H Ti
2 4 1
Direct
0.651 0.651 0.697
0.349 0.349 0.303
0.125 0.125 0.750
0.875 0.875 0.250
0.000 0.500 0.000
0.500 0.000 0.000
0.000 0.000 0.000
```



# 11
The following is a DFT calculation (PBE) of a relaxed Cs2TiH crystal.

Results
Magnetization in μB/f.u.: 3.7
Energy above the most stable polymorph in this dataset in meV/atom: 0

```
Cs2TiH
1.0
-6.745 6.745 1.954
6.745 -6.745 1.954
6.745 6.745 -1.954
H Cs Ti
2 4 2
Direct
0.500 0.500 0.000
0.750 0.250 0.500
0.690 0.375 0.815
0.560 0.875 0.185
0.125 0.310 0.685
0.625 0.440 0.315
0.250 0.750 0.500
0.000 0.000 0.000
```



# 12
The following is a DFT calculation (PBE) of a relaxed Cs2TiH crystal.

Results
Magnetization in μB/f.u.: 3.0
Energy above the most stable polymorph in this dataset in meV/atom: 476

```
Cs2TiH
1.0
0.000 4.504 4.504
4.504 0.000 4.504
4.504 4.504 0.000
Ti H Cs
1 1 2
Direct
0.500 0.500 0.500
0.000 0.000 0.000
0.250 0.250 0.250
0.750 0.750 0.750
```